LaYCu2Ge2 | PBE | optimized geometry

Output
Total DFT energy (no corrections), eV/atom: -5.50
Formation energy, eV/atom: -0.693
Total moment, μB per atom: 0.000
Space-group type: P-3m1 (164)
Mass density, g/cm3: 6.69

Lattice parameters (Å, degrees): 4.2934 4.2934 7.7719 90.00 90.00 120.00
Last column: nearest neighbours and their distance in Å.
Fractional coordinates of all 6 atoms:
La  0.0000  0.0000  0.0000  6 Ge 3.21, 6 Cu 3.28
Y  0.0000  0.0000  0.5000  6 Cu 3.03, 6 Ge 3.09
Cu  0.3333  0.6667  0.7244  3 Ge 2.48
Cu  0.6667  0.3333  0.2756  3 Ge 2.48
Ge  0.3333  0.6667  0.2630  3 Cu 2.48
Ge  0.6667  0.3333  0.7370  3 Cu 2.48

CdIn4Bi2 | PBE | optimized geometry

Output
Total DFT energy (no corrections), eV/atom: -2.74
Formation energy, eV/atom: 0.064
Total moment, μB per atom: 0.000
Space-group type: Fdd2 (43)
Mass density, g/cm3: 7.60

Lattice parameters (Å, degrees): 6.6144 6.6144 10.8818 106.04 106.04 95.21
Last column: nearest neighbours and their distance in Å.
Fractional coordinates of all 14 atoms:
In  0.4029  0.7954  0.7921  4 Bi 3.20-3.52, 3 In 3.21-3.41, 1 Cd 3.50
In  0.0454  0.1529  0.2921  4 Bi 3.20-3.52, 3 In 3.21-3.41, 1 Cd 3.50
In  0.0336  0.3513  0.7836  2 Cd 3.04-3.05, 2 Bi 3.14-3.40, 3 In 3.21-3.37
In  0.6013  0.7836  0.2836  2 Cd 3.04-3.05, 2 Bi 3.14-3.40, 3 In 3.21-3.37
In  0.5000  0.3177  0.7164  2 Cd 3.04-3.05, 2 Bi 3.14-3.40, 3 In 3.21-3.37
In  0.0033  0.6108  0.2079  4 Bi 3.20-3.52, 3 In 3.21-3.41, 1 Cd 3.50
In  0.8608  0.7533  0.7079  4 Bi 3.20-3.52, 3 In 3.21-3.41, 1 Cd 3.50
In  0.5677  0.2500  0.2164  2 Cd 3.04-3.05, 2 Bi 3.14-3.40, 3 In 3.21-3.37
Bi  0.4032  0.5713  0.4587  5 In 3.14-3.40, 1 Cd 3.31, 1 Bi 3.35
Bi  0.1126  0.9445  0.5413  5 In 3.14-3.40, 1 Cd 3.31, 1 Bi 3.35
Bi  0.1945  0.8626  0.0413  5 In 3.14-3.40, 1 Cd 3.31, 1 Bi 3.35
Bi  0.8213  0.1532  0.9587  5 In 3.14-3.40, 1 Cd 3.31, 1 Bi 3.35
Cd  0.7201  0.2201  0.5000  4 In 3.04-3.05, 2 Bi 3.31
Cd  0.4701  0.4701  0.0000  4 In 3.04-3.05, 2 Bi 3.31

KCu3Hg | PBE | optimized geometry

Output
E above lowest polymorph, meV/atom: 0
Total DFT energy (no corrections), eV/atom: -2.24
Formation energy, eV/atom: 0.503
Total moment, μB per atom: 0.000
Space-group type: Pm-3m (221)
Mass density, g/cm3: 5.62

Lattice parameters (Å, degrees): 5.0280 5.0280 5.0280 90.00 90.00 90.00
Last column: nearest neighbours and their distance in Å.
Fractional coordinates of all 5 atoms:
K  0.5000  0.5000  0.5000  12 Cu 3.56
Hg  0.0000  0.0000  0.0000  6 Cu 2.51
Cu  0.0000  0.5000  0.0000  2 Hg 2.51
Cu  0.0000  0.0000  0.5000  2 Hg 2.51
Cu  0.5000  0.0000  0.0000  2 Hg 2.51

TaCd2Fe | PBE | optimized geometry

Output
E above lowest polymorph, meV/atom: 575
Total DFT energy (no corrections), eV/atom: -4.81
Formation energy, eV/atom: 0.729
Total moment, μB per atom: 0.000
Space-group type: Fm-3m (225)
Mass density, g/cm3: 11.27

Lattice parameters (Å, degrees): 4.5819 4.5819 4.5819 60.00 60.00 60.00
Last column: nearest neighbours and their distance in Å.
Fractional coordinates of all 4 atoms:
Cd  0.2500  0.2500  0.2500  4 Ta 2.81, 4 Fe 2.81
Cd  0.7500  0.7500  0.7500  4 Ta 2.81, 4 Fe 2.81
Fe  0.0000  0.0000  0.0000  8 Cd 2.81
Ta  0.5000  0.5000  0.5000  8 Cd 2.81

Ti5VPd2Rh2 | PBE | optimized geometry

Output
Total DFT energy (no corrections), eV/atom: -7.61
Formation energy, eV/atom: -0.238
Total moment, μB per atom: 0.000
Space-group type: P4/mbm (127)
Mass density, g/cm3: 7.13

Lattice parameters (Å, degrees): 2.9661 10.5479 10.5479 90.00 90.00 90.00
Last column: nearest neighbours and their distance in Å.
Fractional coordinates of all 20 atoms:
Ti  0.5000  0.1642  0.1200  2 Rh 2.56, 2 V 2.61, 2 Pd 2.79
Ti  0.5000  0.8358  0.8800  2 Rh 2.56, 2 V 2.61, 2 Pd 2.79
Ti  0.5000  0.1200  0.8358  2 Rh 2.56, 2 V 2.61, 2 Pd 2.79
Ti  0.5000  0.6642  0.3800  2 Rh 2.56, 2 V 2.61, 2 Pd 2.79
Ti  0.5000  0.8800  0.1642  2 Rh 2.56, 2 V 2.61, 2 Pd 2.79
Ti  0.5000  0.3358  0.6200  2 Rh 2.56, 2 V 2.61, 2 Pd 2.79
Ti  0.5000  0.6200  0.6642  2 Rh 2.56, 2 V 2.61, 2 Pd 2.79
Ti  0.5000  0.3800  0.3358  2 Rh 2.56, 2 V 2.61, 2 Pd 2.79
Ti  0.5000  0.5000  0.0000  4 Rh 2.55, 4 Pd 2.76
Ti  0.5000  0.0000  0.5000  4 Rh 2.55, 4 Pd 2.76
V  0.0000  0.0000  0.0000  8 Ti 2.61
V  0.0000  0.5000  0.5000  8 Ti 2.61
Pd  0.0000  0.6562  0.1562  6 Ti 2.76-2.79, 2 Pd 2.97, 1 Rh 3.06
Pd  0.0000  0.3438  0.8438  6 Ti 2.76-2.79, 2 Pd 2.97, 1 Rh 3.06
Pd  0.0000  0.1562  0.3438  6 Ti 2.76-2.79, 2 Pd 2.97, 1 Rh 3.06
Pd  0.0000  0.8438  0.6562  6 Ti 2.76-2.79, 2 Pd 2.97, 1 Rh 3.06
Rh  0.0000  0.1390  0.6390  6 Ti 2.55-2.56
Rh  0.0000  0.8610  0.3610  6 Ti 2.55-2.56
Rh  0.0000  0.6390  0.8610  6 Ti 2.55-2.56
Rh  0.0000  0.3610  0.1390  6 Ti 2.55-2.56

RbAgBrCl2 | PBE | optimized geometry

Output
Total DFT energy (no corrections), eV/atom: -2.82
Total moment, μB per atom: 0.000
Space-group type: P4/mmm (123)
Mass density, g/cm3: 3.95
ΔE_f (raw), eV per atom: -0.98

Lattice parameters (Å, degrees): 5.1839 5.1839 5.3899 90.00 90.00 90.00
Last column: nearest neighbours and their distance in Å.
Fractional coordinates of all 5 atoms:
Br  0.0000  0.0000  0.5000  2 Ag 2.69
Rb  0.5000  0.5000  0.5000  4 Br 3.67, 8 Cl 3.74
Ag  0.0000  0.0000  0.0000  4 Cl 2.59, 2 Br 2.69
Cl  0.0000  0.5000  0.0000  2 Ag 2.59
Cl  0.5000  0.0000  0.0000  2 Ag 2.59